# LaPuCl4 | the Alexandria database | GGA-PBE | relaxed
# Energy, eV per cell: -74.99
# Size of the total moment, μB/cell: 14.1
data_LaPuCl4
_chemical_formula_sum 'La2 Pu2 Cl8'
_cell_length_a 6.990
_cell_length_b 7.307
_cell_length_c 6.816
_cell_angle_alpha 90.00
_cell_angle_beta 95.55
_cell_angle_gamma 90.00
_space_group_name_H-M_alt 'P 1'
_space_group_IT_number 1
_space_group_name_Hall 'P 1'
loop_
_atom_site_label
_atom_site_fract_x
_atom_site_fract_y
_atom_site_fract_z
La1 0.000 0.000 0.000
La2 0.000 0.500 0.500
Pu1 0.500 0.000 0.500
Pu2 0.500 0.500 0.000
Cl1 0.144 0.158 0.375
Cl2 0.144 0.342 0.875
Cl3 0.343 0.656 0.340
Cl4 0.343 0.844 0.840
Cl5 0.657 0.156 0.160
Cl6 0.657 0.344 0.660
Cl7 0.856 0.658 0.125
Cl8 0.856 0.842 0.625

# TbPr2InN | the Alexandria database | GGA-PBE | relaxed
# Energy, eV per cell: -29.61
# Size of the total moment, μB/cell: 0.0
data_TbPr2InN
_chemical_formula_sum 'Tb1 Pr2 In1 N1'
_cell_length_a 5.094
_cell_length_b 5.094
_cell_length_c 4.853
_cell_angle_alpha 90.00
_cell_angle_beta 90.00
_cell_angle_gamma 90.00
_space_group_name_H-M_alt 'P 1'
_space_group_IT_number 1
_space_group_name_Hall 'P 1'
loop_
_atom_site_label
_atom_site_fract_x
_atom_site_fract_y
_atom_site_fract_z
Tb1 0.000 0.000 0.000
Pr1 0.000 0.500 0.500
Pr2 0.500 0.000 0.500
In1 0.500 0.500 0.000
N1 0.000 0.000 0.500

What did we get for DOS(E_F)? Answer: 25.2 2.5 states/eV/cell, in the order shown.